Record 1
{"formula": "Na3ScP", "functional": "GGA-PBEsol", "state": "optimized geometry", "total_energy_ev_per_atom": -2.89, "vol_a3_per_atom": 30.58, "lattice": [[5.348, 0.000, 0.000], [0.000, 5.348, 0.000], [0.000, 0.000, 5.348]], "species": ["Na", "Na", "Na", "Sc", "P"], "fractional_positions": [[0.000, 0.000, 0.500], [0.000, 0.500, 0.000], [0.500, 0.000, 0.000], [0.500, 0.500, 0.500], [0.000, 0.000, 0.000]]}


Record 2
{"formula": "NaSc2TaP", "functional": "GGA-PBEsol", "state": "optimized geometry", "total_energy_ev_per_atom": -6.18, "vol_a3_per_atom": 25.46, "lattice": [[5.156, 0.000, 0.000], [0.000, 5.156, 0.000], [0.000, 0.000, 4.789]], "species": ["Na", "Sc", "Sc", "Ta", "P"], "fractional_positions": [[0.000, 0.000, 0.000], [0.000, 0.500, 0.500], [0.500, 0.000, 0.500], [0.500, 0.500, 0.500], [0.500, 0.500, 0.000]]}


Record 3
{"formula": "NaPSe3", "functional": "GGA-PBEsol", "state": "optimized geometry", "formation_energy_uncorrected_ev_per_atom": 1.15, "e_above_lowest_polymorph_ev_per_fu": 6.08, "vol_a3_per_atom": 23.90, "lattice": [[4.925, 0.000, 0.000], [0.000, 4.925, 0.000], [0.000, 0.000, 4.925]], "species": ["Na", "P", "Se", "Se", "Se"], "fractional_positions": [[0.000, 0.000, 0.000], [0.500, 0.500, 0.500], [0.000, 0.000, 0.500], [0.000, 0.500, 0.000], [0.500, 0.000, 0.000]]}


Record 4
{"formula": "Na2PSe3", "functional": "GGA-PBEsol", "state": "optimized geometry", "formation_energy_uncorrected_ev_per_atom": -0.69, "vol_a3_per_atom": 25.42, "lattice": [[5.845, -6.567, 0.000], [5.845, 6.567, 0.000], [0.000, 0.000, 7.946]], "species": ["Na", "Na", "Na", "Na", "Na", "Na", "Na", "Na", "P", "P", "P", "P", "Se", "Se", "Se", "Se", "Se", "Se", "Se", "Se", "Se", "Se", "Se", "Se"], "fractional_positions": [[0.185, 0.815, 0.843], [0.224, 0.276, 0.750], [0.276, 0.224, 0.250], [0.315, 0.685, 0.343], [0.685, 0.315, 0.657], [0.724, 0.776, 0.750], [0.776, 0.724, 0.250], [0.815, 0.185, 0.157], [0.079, 0.921, 0.446], [0.421, 0.579, 0.946], [0.579, 0.421, 0.054], [0.921, 0.079, 0.554], [0.001, 0.688, 0.534], [0.053, 0.947, 0.171], [0.188, 0.501, 0.034], [0.312, 0.999, 0.534], [0.447, 0.553, 0.671], [0.499, 0.812, 0.034], [0.501, 0.188, 0.966], [0.553, 0.447, 0.329], [0.688, 0.001, 0.466], [0.812, 0.499, 0.966], [0.947, 0.053, 0.829], [0.999, 0.312, 0.466]]}


Record 5
{"formula": "NaPSe3", "functional": "GGA-PBEsol", "state": "optimized geometry", "formation_energy_uncorrected_ev_per_atom": -0.06, "e_above_lowest_polymorph_ev_per_fu": 0.00, "vol_a3_per_atom": 23.04, "lattice": [[4.865, 0.000, 0.000], [0.000, 4.865, 0.000], [0.000, 0.000, 4.865]], "species": ["Na", "P", "Se", "Se", "Se"], "fractional_positions": [[0.000, 0.000, 0.000], [0.500, 0.500, 0.500], [0.000, 0.500, 0.500], [0.500, 0.000, 0.500], [0.500, 0.500, 0.000]]}


Record 6
{"formula": "NaSi2P2", "functional": "GGA-PBEsol", "state": "optimized geometry", "formation_energy_uncorrected_ev_per_atom": 0.06, "vol_a3_per_atom": 20.24, "lattice": [[-2.199, 2.199, 5.233], [2.199, -2.199, 5.233], [2.199, 2.199, -5.233]], "species": ["Na", "Si", "Si", "P", "P"], "fractional_positions": [[0.000, 0.000, 0.000], [0.250, 0.750, 0.500], [0.750, 0.250, 0.500], [0.336, 0.336, 0.000], [0.664, 0.664, 0.000]]}


Record 7
{"formula": "Na3SiP", "functional": "GGA-PBEsol", "state": "optimized geometry", "formation_energy_uncorrected_ev_per_atom": 0.50, "vol_a3_per_atom": 30.11, "lattice": [[5.320, 0.000, 0.000], [0.000, 5.320, 0.000], [0.000, 0.000, 5.320]], "species": ["Na", "Na", "Na", "Si", "P"], "fractional_positions": [[0.000, 0.000, 0.500], [0.000, 0.500, 0.000], [0.500, 0.000, 0.000], [0.500, 0.500, 0.500], [0.000, 0.000, 0.000]]}


Record 8
{"formula": "Na4Sr2SiP4", "functional": "GGA-PBEsol", "state": "optimized geometry", "formation_energy_uncorrected_ev_per_atom": -0.67, "vol_a3_per_atom": 24.12, "lattice": [[4.611, -7.978, 0.000], [4.611, 7.978, 0.000], [-0.111, 0.000, 7.213]], "species": ["Na", "Na", "Na", "Na", "Na", "Na", "Na", "Na", "Sr", "Sr", "Sr", "Sr", "Si", "Si", "P", "P", "P", "P", "P", "P", "P", "P"], "fractional_positions": [[0.071, 0.929, 0.500], [0.322, 0.851, 0.203], [0.510, 0.662, 0.037], [0.656, 0.946, 0.525], [0.662, 0.510, 0.537], [0.851, 0.322, 0.703], [0.929, 0.071, 0.000], [0.946, 0.656, 0.025], [0.264, 0.316, 0.697], [0.265, 0.744, 0.699], [0.316, 0.264, 0.197], [0.744, 0.265, 0.199], [0.132, 0.467, 0.314], [0.467, 0.132, 0.814], [0.133, 0.457, 0.995], [0.187, 0.990, 0.904], [0.405, 0.597, 0.420], [0.457, 0.133, 0.495], [0.593, 0.989, 0.911], [0.597, 0.405, 0.920], [0.989, 0.593, 0.411], [0.990, 0.187, 0.404]]}


Record 9
{"formula": "NaZnSi2P", "functional": "GGA-PBEsol", "state": "optimized geometry", "formation_energy_uncorrected_ev_per_atom": 0.69, "vol_a3_per_atom": 21.12, "lattice": [[4.678, 0.000, 0.000], [0.000, 4.678, 0.000], [0.000, 0.000, 4.827]], "species": ["Na", "Zn", "Si", "Si", "P"], "fractional_positions": [[0.000, 0.000, 0.000], [0.500, 0.500, 0.500], [0.000, 0.500, 0.500], [0.500, 0.000, 0.500], [0.500, 0.500, 0.000]]}


Record 10
{"formula": "Na2Sr3P4", "functional": "GGA-PBEsol", "state": "optimized geometry", "total_energy_ev_per_atom": -4.34, "vol_a3_per_atom": 24.15, "lattice": [[7.933, 0.000, 0.000], [0.000, 7.290, 0.000], [-7.899, 0.000, 15.034]], "species": ["Na", "Na", "Na", "Na", "Na", "Na", "Na", "Na", "Sr", "Sr", "Sr", "Sr", "Sr", "Sr", "Sr", "Sr", "Sr", "Sr", "Sr", "Sr", "P", "P", "P", "P", "P", "P", "P", "P", "P", "P", "P", "P", "P", "P", "P", "P"], "fractional_positions": [[0.198, 0.188, 0.378], [0.198, 0.312, 0.878], [0.262, 0.635, 0.750], [0.262, 0.865, 0.250], [0.738, 0.135, 0.750], [0.738, 0.365, 0.250], [0.802, 0.688, 0.122], [0.802, 0.812, 0.622], [0.058, 0.685, 0.371], [0.058, 0.815, 0.871], [0.295, 0.537, 0.101], [0.295, 0.963, 0.601], [0.410, 0.037, 0.101], [0.410, 0.463, 0.601], [0.590, 0.537, 0.399], [0.590, 0.963, 0.899], [0.705, 0.037, 0.399], [0.705, 0.463, 0.899], [0.942, 0.185, 0.129], [0.942, 0.315, 0.629], [0.009, 0.636, 0.536], [0.009, 0.864, 0.036], [0.177, 0.021, 0.752], [0.177, 0.479, 0.252], [0.370, 0.244, 0.749], [0.370, 0.256, 0.249], [0.434, 0.633, 0.964], [0.434, 0.867, 0.464], [0.566, 0.133, 0.536], [0.566, 0.367, 0.036], [0.630, 0.744, 0.751], [0.630, 0.756, 0.251], [0.823, 0.521, 0.748], [0.823, 0.979, 0.248], [0.991, 0.136, 0.964], [0.991, 0.364, 0.464]]}


Record 11
{"formula": "NaSr3P", "functional": "GGA-PBEsol", "state": "optimized geometry", "total_energy_ev_per_atom": -3.02, "vol_a3_per_atom": 42.06, "lattice": [[5.947, 0.000, 0.000], [0.000, 5.947, 0.000], [0.000, 0.000, 5.947]], "species": ["Na", "Sr", "Sr", "Sr", "P"], "fractional_positions": [[0.000, 0.000, 0.000], [0.000, 0.500, 0.500], [0.500, 0.000, 0.500], [0.500, 0.500, 0.000], [0.500, 0.500, 0.500]]}


Record 12
{"formula": "Na5SrTaP4", "functional": "GGA-PBEsol", "state": "optimized geometry", "total_energy_ev_per_atom": -4.64, "vol_a3_per_atom": 24.53, "lattice": [[4.624, -7.997, 0.000], [4.624, 7.997, 0.000], [-0.052, 0.000, 7.299]], "species": ["Na", "Na", "Na", "Na", "Na", "Na", "Na", "Na", "Na", "Na", "Sr", "Sr", "Ta", "Ta", "P", "P", "P", "P", "P", "P", "P", "P"], "fractional_positions": [[0.033, 0.967, 0.500], [0.035, 0.571, 0.501], [0.218, 0.358, 0.346], [0.358, 0.218, 0.846], [0.373, 0.650, 0.835], [0.571, 0.035, 0.001], [0.650, 0.373, 0.335], [0.658, 0.795, 0.315], [0.795, 0.658, 0.815], [0.967, 0.033, 0.000], [0.444, 0.973, 0.506], [0.973, 0.444, 0.006], [0.174, 0.844, 0.112], [0.844, 0.174, 0.612], [0.122, 0.315, 0.725], [0.173, 0.835, 0.787], [0.311, 0.696, 0.218], [0.315, 0.122, 0.225], [0.696, 0.311, 0.718], [0.696, 0.889, 0.707], [0.835, 0.173, 0.287], [0.889, 0.696, 0.207]]}